Entry 1:
# TaNbAg2Ge

TaNbAg2Ge after structural relaxation (PBE-GGA, the Alexandria database).

Summary:
As for the energy of formation: 1.56 eV per atom. For the total DFT energy (no corrections), the calculation gives -4.887 eV per atom.

The structure in CIF format:
```
data_TaNbAg2Ge
_chemical_formula_sum 'Ta1 Nb1 Ag2 Ge1'
_space_group_name_H-M_alt 'P 4/m m m'
_space_group_IT_number 123
_space_group_name_Hall '-P 4 2'
_cell_length_a 4.981
_cell_length_b 4.981
_cell_length_c 4.819
_cell_angle_alpha 90.00
_cell_angle_beta 90.00
_cell_angle_gamma 90.00
loop_
_atom_site_label
_atom_site_type_symbol
_atom_site_fract_x
_atom_site_fract_y
_atom_site_fract_z
Ta1 Ta 0.000 0.000 0.000
Nb1 Nb 0.500 0.500 0.500
Ag1 Ag 0.000 0.500 0.000
Ge1 Ge 0.000 0.000 0.500
```

Entry 2:
# Hf2TaCd

Hf2TaCd after structural relaxation (PBE-GGA, the Alexandria database).

Summary:
As for the energy of formation: 0.09 eV per atom. For the total DFT energy (no corrections), the calculation gives -8.076 eV per atom.

The structure in CIF format:
```
data_Hf2TaCd
_chemical_formula_sum 'Hf6 Ta3 Cd3'
_space_group_name_H-M_alt 'R -3 m'
_space_group_IT_number 166
_space_group_name_Hall '-R 3 2"'
_cell_length_a 3.1579
_cell_length_b 3.1579
_cell_length_c 29.7110
_cell_angle_alpha 90.00
_cell_angle_beta 90.00
_cell_angle_gamma 120.00
loop_
_atom_site_label
_atom_site_type_symbol
_atom_site_fract_x
_atom_site_fract_y
_atom_site_fract_z
Hf1 Hf 0.0000 0.0000 0.2463
Ta1 Ta 0.0000 0.0000 0.5000
Cd1 Cd 0.0000 0.0000 0.0000
```

Entry 3:
# BaTeIrI2

BaTeIrI2 after structural relaxation (PBE-GGA, the Alexandria database).

Summary:
For the total DFT energy (no corrections), the calculation gives -3.935 eV per atom. The uncorrected formation energy comes out at -0.530 eV/atom. As for the energy above the most stable polymorph in this dataset: 0.000 eV per atom.

The structure in CIF format:
```
data_BaTeIrI2
_chemical_formula_sum 'Ba1 Te1 Ir1 I2'
_space_group_name_H-M_alt 'P 4/m m m'
_space_group_IT_number 123
_space_group_name_Hall '-P 4 2'
_cell_length_a 5.531
_cell_length_b 5.531
_cell_length_c 5.416
_cell_angle_alpha 90.00
_cell_angle_beta 90.00
_cell_angle_gamma 90.00
loop_
_atom_site_label
_atom_site_type_symbol
_atom_site_fract_x
_atom_site_fract_y
_atom_site_fract_z
Ba1 Ba 0.000 0.000 0.000
Te1 Te 0.500 0.500 0.000
Ir1 Ir 0.500 0.500 0.500
I1 I 0.000 0.500 0.500
```

Entry 4:
# LiTl2Bi

LiTl2Bi after structural relaxation (PBE-GGA, the Alexandria database).

Summary:
As for the energy of formation: -0.15 eV per atom. For the total DFT energy (no corrections), the calculation gives -2.779 eV per atom.

The structure in CIF format:
```
data_LiTl2Bi
_chemical_formula_sum 'Li2 Tl4 Bi2'
_space_group_name_H-M_alt 'C 1 m 1'
_space_group_IT_number 8
_cell_length_a 8.675
_cell_length_b 5.006
_cell_length_c 6.318
_cell_angle_alpha 90.00
_cell_angle_beta 117.63
_cell_angle_gamma 90.00
loop_
_space_group_symop_operation_xyz
'x,y,z'
'x,-y,z'
'x+1/2,y+1/2,z'
'x+1/2,-y+1/2,z'
loop_
_atom_site_label
_atom_site_type_symbol
_atom_site_fract_x
_atom_site_fract_y
_atom_site_fract_z
Li1 Li 0.000 0.000 0.000
Tl1 Tl 0.067 0.500 0.701
Tl2 Tl 0.289 0.500 0.367
Bi1 Bi 0.347 0.000 0.041
```

Q: Which of these has the highest total DFT energy (no corrections)?
A: LiTl2Bi